## Sr2BiWO6 (GGA+U)

Data for Sr2BiWO6 after structural relaxation.

Crystal system: tetragonal
Final energy (eV/atom): -6.571

a = 5.8537 Å, b = 5.8537 Å, c = 5.0516 Å
α = 90.00°, β = 90.00°, γ = 90.00°
Space group P4mm (No. 99)
Symmetry-distinct sites (fractional):
Sr1 0.0000 0.5000 0.0000 (multiplicity 2)
Bi1 0.0000 0.0000 0.5824 (multiplicity 1)
W1 0.5000 0.5000 0.5846 (multiplicity 1)
O1 0.0000 0.0000 0.1551 (multiplicity 1)
O2 0.2722 0.2722 0.7141 (multiplicity 4)
O3 0.5000 0.5000 0.2220 (multiplicity 1)